Compound: Zr2MnZn6
Source: Alexandria
Functional: PBE-GGA
Structure: relaxed

Cell: 5.671 5.462 5.462 Å, 120.00 90.00 90.00°
Fractional coordinates of all 9 atoms:
Zr (0.370, 0.667, 0.333)
Zr (0.630, 0.333, 0.667)
Mn (0.500, 0.000, 0.000)
Zn (0.829, 0.824, 0.648)
Zn (0.829, 0.824, 0.176)
Zn (0.171, 0.648, 0.824)
Zn (0.829, 0.352, 0.176)
Zn (0.171, 0.176, 0.824)
Zn (0.171, 0.176, 0.352)

Values from the calculation:
Space-group type ... No. 164
Formation enthalpy at 0 K ... -0.1641 eV/atom
E ... -35.386 eV/cell
Volume ... 16.28 A^3/atom